A plane-wave DFT calculation with PBE was carried out for an optimized crystal structure of HfNbMo4.

Lattice parameters (Å, degrees): 7.5245 7.5245 7.5245 90.00 90.00 90.00
Closest atoms and distances in Å follow each position.
Space group F-43m (No. 216)
Inequivalent atoms, fractional coordinates:
Hf1 0.0000 0.0000 0.0000  12 Mo 3.12, 4 Nb 3.26
Nb1 0.2500 0.2500 0.2500  12 Mo 3.12, 4 Hf 3.26
Mo1 0.1248 0.1248 0.6248  6 Mo 2.66

Results
The calculation puts the total magnetization at 0.00 μB/f.u. For the formation energy, the calculation gives -0.0654 eV/atom.